Record 1
DFT (GGA-PBE) results for crystalline Sc2In2Hg at its relaxed geometry.

Calculated values
Final energy, eV/atom: -3.9503
DOS at the Fermi energy, states/eV per atom: 0.613
Energy above the lowest structure with this stoichiometry, meV/atom: 45
Space-group type: P4/mbm
V, Å³ per cell: 235.7
Formation energy, eV/atom: -0.26

Cell: 7.3122 7.3122 4.4085 Å, 90.00 90.00 90.00°
Last column: nearest neighbours and their distance in Å.
Fractional positions:
Sc1 0.1631 0.3369 0.0000  6 In 3.02-3.12, 1 Sc 3.37
Sc2 0.3369 0.8369 0.0000  6 In 3.02-3.12, 1 Sc 3.37
Sc3 0.6631 0.1631 0.0000  6 In 3.02-3.12, 1 Sc 3.37
Sc4 0.8369 0.6631 0.0000  6 In 3.02-3.12, 1 Sc 3.37
In1 0.1377 0.6377 0.5000  2 Hg 2.83, 1 In 2.85, 6 Sc 3.02-3.12
In2 0.3623 0.1377 0.5000  2 Hg 2.83, 1 In 2.85, 6 Sc 3.02-3.12
In3 0.6377 0.8623 0.5000  2 Hg 2.83, 1 In 2.85, 6 Sc 3.02-3.12
In4 0.8623 0.3623 0.5000  2 Hg 2.83, 1 In 2.85, 6 Sc 3.02-3.12
Hg1 0.0000 0.0000 0.5000  4 In 2.83
Hg2 0.5000 0.5000 0.5000  4 In 2.83

***

Record 2
DFT (GGA-PBE) results for crystalline Pr6AlHg5 at its relaxed geometry.

Calculated values
Final energy, eV/atom: -3.2679
DOS at the Fermi energy, states/eV per atom: 1.206
Space-group type: P2/m
V, Å³ per cell: 342.4
Formation energy, eV/atom: -0.44

Cell: 5.4210 7.7539 8.5770 Å, 90.00 108.23 90.00°
Last column: nearest neighbours and their distance in Å.
Fractional positions:
Pr1 0.0000 0.2447 0.0000  6 Hg 3.31-3.36, 2 Al 3.31
Pr2 0.0000 0.7553 0.0000  6 Hg 3.31-3.36, 2 Al 3.31
Pr3 0.3345 0.2458 0.6712  1 Al 3.29, 7 Hg 3.31-3.38
Pr4 0.3345 0.7542 0.6712  1 Al 3.29, 7 Hg 3.31-3.38
Pr5 0.6655 0.2458 0.3288  1 Al 3.29, 7 Hg 3.31-3.38
Pr6 0.6655 0.7542 0.3288  1 Al 3.29, 7 Hg 3.31-3.38
Al1 0.5000 0.0000 0.0000  8 Pr 3.29-3.31
Hg1 0.1678 0.5000 0.3335  8 Pr 3.35-3.38
Hg2 0.1686 0.0000 0.3323  8 Pr 3.31-3.36
Hg3 0.5000 0.5000 0.0000  8 Pr 3.33-3.36
Hg4 0.8314 0.0000 0.6677  8 Pr 3.31-3.36
Hg5 0.8322 0.5000 0.6665  8 Pr 3.35-3.38

***

Record 3
DFT (GGA-PBE) results for crystalline AgI4Br at its relaxed geometry.

Calculated values
Final energy, eV/atom: -1.7945
DOS at the Fermi energy, states/eV per atom: 0.257
Space-group type: C2/m
V, Å³ per cell: 269.1
Formation energy from raw total energies, eV per atom: -0.007

Cell: 6.7227 6.7227 6.3006 Å, 103.56 103.56 86.75°
Last column: nearest neighbours and their distance in Å.
Fractional positions:
Ag1 0.0000 0.0000 0.0000  2 I 2.71
I1 0.2939 0.7061 0.0000  1 Ag 2.71
I2 0.3200 0.6800 0.5000  1 Br 2.96, 2 I 3.16
I3 0.6800 0.3200 0.5000  1 Br 2.96, 2 I 3.16
I4 0.7061 0.2939 0.0000  1 Ag 2.71
Br1 0.0000 0.0000 0.5000  2 I 2.96, 2 Ag 3.15

***

Record 4
DFT (GGA-PBE) results for crystalline Sm7Mg2Ir2 at its relaxed geometry.

Calculated values
Final energy, eV/atom: -5.1516
DOS at the Fermi energy, states/eV per atom: 1.178
Space-group type: Cmmm
V, Å³ per cell: 343.7
Formation energy, eV/atom: -0.25

Cell: 6.9695 6.9695 7.3865 Å, 90.00 90.00 106.70°
Last column: nearest neighbours and their distance in Å.
Fractional positions:
Sm1 0.0000 0.0000 0.0000  2 Ir 3.19
Sm2 0.0000 0.5000 0.2458  2 Ir 2.79
Sm3 0.0000 0.5000 0.7542  2 Ir 2.79
Sm4 0.5000 0.0000 0.2458  2 Ir 2.79
Sm5 0.5000 0.0000 0.7542  2 Ir 2.79
Sm6 0.5000 0.5000 0.2381  2 Ir 2.97
Sm7 0.5000 0.5000 0.7619  2 Ir 2.97
Mg1 0.1728 0.1728 0.5000  1 Mg 2.88
Mg2 0.8272 0.8272 0.5000  1 Mg 2.88
Ir1 0.2856 0.7144 0.0000  6 Sm 2.79-2.97
Ir2 0.7144 0.2856 0.0000  6 Sm 2.79-2.97

***

Record 5
DFT (GGA-PBE) results for crystalline HfIOF2 at its relaxed geometry.

Calculated values
Final energy, eV/atom: -3.9844
DOS at the Fermi energy, states/eV per atom: 1.199
Energy above the lowest structure with this stoichiometry, meV/atom: 2360
Space-group type: P4/mmm
V, Å³ per cell: 103.0
Formation energy from raw total energies, eV per atom: 0.056

Cell: 5.1154 5.1154 3.9375 Å, 90.00 90.00 90.00°
Last column: nearest neighbours and their distance in Å.
Fractional positions:
Hf1 0.0000 0.0000 0.0000  8 F 3.23
I1 0.5000 0.5000 0.5000  2 O 1.97
O1 0.5000 0.5000 0.0000  2 I 1.97
F1 0.0000 0.5000 0.5000  2 I 2.56
F2 0.5000 0.0000 0.5000  2 I 2.56

***

Record 6
DFT (GGA-PBE) results for crystalline SrYNb2 at its relaxed geometry.

Calculated values
Final energy, eV/atom: -5.8186
DOS at the Fermi energy, states/eV per atom: 1.298
Energy above the lowest structure with this stoichiometry, meV/atom: 218
Space-group type: I-42d
V, Å³ per cell: 210.0
Formation energy, eV/atom: 1.25

Cell: 6.6305 6.6305 6.6305 Å, 101.87 101.87 126.06°
Last column: nearest neighbours and their distance in Å.
Fractional positions:
Sr1 0.0000 0.0000 0.0000  2 Y 3.01, 4 Nb 3.08
Sr2 0.7500 0.2500 0.5000  2 Y 3.01, 4 Nb 3.08
Y1 0.2500 0.7500 0.5000  2 Sr 3.01, 4 Nb 3.01
Y2 0.5000 0.5000 0.0000  2 Sr 3.01, 4 Nb 3.01
Nb1 0.1311 0.6250 0.0061  2 Nb 3.01, 2 Y 3.01, 2 Sr 3.08
Nb2 0.3750 0.3811 0.5061  2 Nb 3.01, 2 Y 3.01, 2 Sr 3.08
Nb3 0.6189 0.1250 0.9939  2 Nb 3.01, 2 Y 3.01, 2 Sr 3.08
Nb4 0.8750 0.8689 0.4939  2 Nb 3.01, 2 Y 3.01, 2 Sr 3.08

***

Record 7
DFT (GGA-PBE) results for crystalline Be2NiBr at its relaxed geometry.

Calculated values
Final energy, eV/atom: -2.7542
DOS at the Fermi energy, states/eV per atom: 1.033
Energy above the lowest structure with this stoichiometry, meV/atom: 909
Space-group type: F-43m
V, Å³ per cell: 53.0
Formation energy from raw total energies, eV per atom: 0.972

Cell: 4.2173 4.2173 4.2173 Å, 60.00 60.00 60.00°
Last column: nearest neighbours and their distance in Å.
Fractional positions:
Be1 0.0000 0.0000 0.0000  4 Ni 2.58, 4 Be 2.58
Be2 0.2500 0.2500 0.2500  4 Br 2.58, 4 Be 2.58
Ni1 0.7500 0.7500 0.7500  4 Br 2.58, 4 Be 2.58
Br1 0.5000 0.5000 0.5000  4 Be 2.58, 4 Ni 2.58

***

Record 8
DFT (GGA-PBE) results for crystalline Tb6Cd2Os at its relaxed geometry.

Calculated values
Final energy, eV/atom: -4.6668
DOS at the Fermi energy, states/eV per atom: 1.041
Energy above the lowest structure with this stoichiometry, meV/atom: 17
Space-group type: P2_1/c
V, Å³ per cell: 535.6
Formation energy, eV/atom: -0.13

Cell: 6.7917 7.5032 12.3363 Å, 90.00 121.57 90.00°
Last column: nearest neighbours and their distance in Å.
Fractional positions:
Tb1 0.1452 0.1839 0.4592  1 Os 2.71
Tb2 0.1452 0.3161 0.9592  1 Os 2.71
Tb3 0.2920 0.6923 0.4595  1 Os 2.70
Tb4 0.2920 0.8077 0.9595  1 Os 2.70
Tb5 0.3521 0.0056 0.2492  1 Os 2.73
Tb6 0.3521 0.4944 0.7492  1 Os 2.73
Tb7 0.6479 0.5056 0.2508  1 Os 2.73
Tb8 0.6479 0.9944 0.7508  1 Os 2.73
Tb9 0.7080 0.1923 0.0405  1 Os 2.70
Tb10 0.7080 0.3077 0.5405  1 Os 2.70
Tb11 0.8548 0.6839 0.0408  1 Os 2.71
Tb12 0.8548 0.8161 0.5408  1 Os 2.71
Cd1 0.1885 0.0970 0.7481  7 Tb 3.17-3.48
Cd2 0.1885 0.4030 0.2481  7 Tb 3.17-3.48
Cd3 0.8115 0.5970 0.7519  7 Tb 3.17-3.48
Cd4 0.8115 0.9030 0.2519  7 Tb 3.17-3.48
Os1 0.0000 0.0000 0.0000  6 Tb 2.70-2.73
Os2 0.0000 0.5000 0.5000  6 Tb 2.70-2.73